Record 1
# LaAl3Se | the Alexandria database | PBEsol | relaxed
data_LaAl3Se
_chemical_formula_sum 'La1 Al3 Se1'
_symmetry_space_group_name_H-M 'P 1'
_symmetry_Int_Tables_number 1
_symmetry_space_group_name_Hall 'P 1'
_cell_length_a 5.642
_cell_length_b 5.642
_cell_length_c 5.642
_cell_angle_alpha 90.00
_cell_angle_beta 90.00
_cell_angle_gamma 90.00
loop_
_atom_site_label
_atom_site_type_symbol
_atom_site_fract_x
_atom_site_fract_y
_atom_site_fract_z
Al1 Al 0.000 0.000 0.500
Al2 Al 0.000 0.500 0.000
Al3 Al 0.500 0.000 0.000
La1 La 0.000 0.000 0.000
Se1 Se 0.500 0.500 0.500
# - Calculated density: 2.8 g cm⁻³
# - Uncorrected formation energy: 1.369 eV/atom
# - Total energy: -2.926 eV per atom
# - SG: Pm-3m, No. 221

Record 2
# LaO3 | the Alexandria database | PBEsol | relaxed
data_LaO3
_chemical_formula_sum 'La2 O6'
_symmetry_space_group_name_H-M 'P 1'
_symmetry_Int_Tables_number 1
_symmetry_space_group_name_Hall 'P 1'
_cell_length_a 4.490
_cell_length_b 5.366
_cell_length_c 5.366
_cell_angle_alpha 120.00
_cell_angle_beta 90.00
_cell_angle_gamma 90.00
loop_
_atom_site_label
_atom_site_type_symbol
_atom_site_fract_x
_atom_site_fract_y
_atom_site_fract_z
O1 O 0.750 0.161 0.753
O2 O 0.250 0.408 0.161
O3 O 0.750 0.592 0.839
O4 O 0.750 0.247 0.408
O5 O 0.250 0.753 0.592
O6 O 0.250 0.839 0.247
La1 La 0.250 0.333 0.667
La2 La 0.750 0.667 0.333
# - Calculated density: 5.5 g cm⁻³
# - Uncorrected formation energy: -1.474 eV/atom
# - Total energy: -6.747 eV per atom
# - SG: P6_3/m, No. 176

Record 3
# Li2AlCd | the Alexandria database | PBEsol | relaxed
data_Li2AlCd
_chemical_formula_sum 'Li2 Al1 Cd1'
_symmetry_space_group_name_H-M 'P 1'
_symmetry_Int_Tables_number 1
_symmetry_space_group_name_Hall 'P 1'
_cell_length_a 3.726
_cell_length_b 4.255
_cell_length_c 5.148
_cell_angle_alpha 114.41
_cell_angle_beta 111.22
_cell_angle_gamma 90.00
loop_
_atom_site_label
_atom_site_type_symbol
_atom_site_fract_x
_atom_site_fract_y
_atom_site_fract_z
Al1 Al 0.500 0.000 0.000
Cd1 Cd 0.000 0.500 0.000
Li1 Li 0.750 0.750 0.499
Li2 Li 0.250 0.250 0.501
# - Calculated density: 3.7 g cm⁻³
# - Formation energy: -0.14 eV per atom
# - Total energy: -2.449 eV per atom
# - SG: Immm, No. 71

Record 4
# La2YCd | the Alexandria database | PBEsol | relaxed
data_La2YCd
_chemical_formula_sum 'La2 Y1 Cd1'
_symmetry_space_group_name_H-M 'P 1'
_symmetry_Int_Tables_number 1
_symmetry_space_group_name_Hall 'P 1'
_cell_length_a 3.578
_cell_length_b 4.567
_cell_length_c 7.081
_cell_angle_alpha 90.00
_cell_angle_beta 90.00
_cell_angle_gamma 90.00
loop_
_atom_site_label
_atom_site_type_symbol
_atom_site_fract_x
_atom_site_fract_y
_atom_site_fract_z
Y1 Y 0.500 0.000 0.529
La1 La 0.000 0.500 0.236
La2 La 0.500 0.000 0.997
Cd1 Cd 0.000 0.500 0.738
# - Calculated density: 6.9 g cm⁻³
# - Formation energy: -0.11 eV per atom
# - Total energy: -4.792 eV per atom
# - SG: Pmm2, No. 25